The following is a DFT calculation (GGA-PBE) of a relaxed PrSm2Bi3 crystal.

V, Å³/cell: 409
Total magnetic moment, μB/cell: 0.0
Formation energy from the elements, kJ/mol of formula units: -541.8
Electronic total energy, eV per atom: -5.246

abc: 4.589 6.483 13.759
angles: 90.00 90.00 90.00
Element x y z (fractional)
Pr  0.000  0.000  0.000
Pr  0.500  0.500  0.500
Sm  0.000  0.000  0.334
Sm  0.000  0.000  0.666
Sm  0.500  0.500  0.166
Sm  0.500  0.500  0.834
Bi  0.000  0.500  0.000
Bi  0.000  0.500  0.331
Bi  0.000  0.500  0.669
Bi  0.500  0.000  0.169
Bi  0.500  0.000  0.500
Bi  0.500  0.000  0.831